First-principles (PBEsol) data for an optimized crystal structure of MgS2BrN, as listed in Alexandria.

abc: 3.6854 4.9332 4.9332
angles: 90.00 90.00 90.00
Closest atoms and distances in Å follow each position.
Sites, in units of the cell vectors:
S (0.0000, 0.5000, 0.0000)  2 Br 2.47
S (0.0000, 0.0000, 0.5000)  2 Br 2.47
N (0.5000, 0.0000, 0.0000)  2 Br 1.84
Br (0.0000, 0.0000, 0.0000)  2 N 1.84
Mg (0.5000, 0.5000, 0.5000)  8 S 3.08

Properties
* formation energy without anion corrections: 4.64 eV/f.u.
* volume: 89.7 Å³/f.u.
* space group: P4/mmm
* crystal system: tetragonal

***

First-principles (PBEsol) data for an optimized crystal structure of As2Pb, as listed in Alexandria.

abc: 3.5234 5.3783 7.9857
angles: 90.00 102.74 90.00
Closest atoms and distances in Å follow each position.
Sites, in units of the cell vectors:
Pb (0.6913, 0.2500, 0.3826)  2 As 2.96
Pb (0.3087, 0.7500, 0.6174)  2 As 2.96
As (0.6126, 0.7500, 0.2253)  2 As 2.47
As (0.3874, 0.2500, 0.7747)  2 As 2.47
As (0.9981, 0.2500, 0.9961)  4 As 2.47-2.69
As (0.0019, 0.7500, 0.0039)  4 As 2.47-2.69

Properties
* ΔH_f (0 K): 49 meV per atom
* volume: 73.8 Å³/f.u.
* E above lowest polymorph: 0.000 eV/atom
* space group: Cmcm
* crystal system: orthorhombic

***

First-principles (PBEsol) data for an optimized crystal structure of CoNiIr2, as listed in Alexandria.

abc: 2.6452 3.6541 5.0933
angles: 90.00 90.00 90.00
Closest atoms and distances in Å follow each position.
Sites, in units of the cell vectors:
Ir (0.5000, 0.5000, 0.2579)  2 Co 2.48-2.61, 4 Ni 2.58, 6 Ir 2.63-2.65
Ir (0.0000, 0.0000, 0.9915)  2 Ni 2.48-2.62, 4 Co 2.58, 6 Ir 2.63-2.65
Ni (0.0000, 0.0000, 0.5054)  6 Ir 2.48-2.62, 4 Co 2.57, 2 Ni 2.65
Co (0.5000, 0.5000, 0.7452)  6 Ir 2.48-2.61, 4 Ni 2.57, 2 Co 2.65

Properties
* ΔH_f (0 K): 32 meV per atom
* volume: 49.2 Å³/f.u.
* E above lowest polymorph: 0.038 eV/atom
* space group: Pmm2
* crystal system: orthorhombic

***

First-principles (PBEsol) data for an optimized crystal structure of Ba2YPb2, as listed in Alexandria.

abc: 4.3181 4.3181 11.8114
angles: 100.53 100.53 90.00
Closest atoms and distances in Å follow each position.
Sites, in units of the cell vectors:
Ba (0.3827, 0.3827, 0.7654)  4 Pb 3.72, 4 Y 4.06
Ba (0.6173, 0.6173, 0.2346)  4 Pb 3.72, 4 Y 4.06
Pb (0.2500, 0.7500, 0.5000)  4 Pb 3.05
Pb (0.7500, 0.2500, 0.5000)  4 Pb 3.05
Y (0.0000, 0.0000, 0.0000)  8 Ba 4.06, 4 Y 4.32

Properties
* ΔH_f (0 K): 135 meV per atom
* volume: 212.7 Å³/f.u.
* space group: I4/mmm
* crystal system: tetragonal

***

First-principles (PBEsol) data for an optimized crystal structure of ScTi2InC, as listed in Alexandria.

abc: 4.2169 4.6900 4.6900
angles: 90.00 90.00 90.00
Closest atoms and distances in Å follow each position.
Sites, in units of the cell vectors:
C (0.5000, 0.0000, 0.0000)  2 Sc 2.11
Sc (0.0000, 0.0000, 0.0000)  2 C 2.11, 4 Ti 2.34
In (0.5000, 0.5000, 0.5000)  8 Ti 3.15, 4 C 3.32
Ti (0.0000, 0.5000, 0.0000)  2 Sc 2.34
Ti (0.0000, 0.0000, 0.5000)  2 Sc 2.34

Properties
* ΔH_f (0 K): 1393 meV per atom
* volume: 92.8 Å³/f.u.
* E above lowest polymorph: 2.011 eV/atom
* space group: P4/mmm
* crystal system: tetragonal

***

First-principles (PBEsol) data for an optimized crystal structure of NbCo3F, as listed in Alexandria.

abc: 3.8935 3.8935 3.8935
angles: 90.00 90.00 90.00
Closest atoms and distances in Å follow each position.
Sites, in units of the cell vectors:
Nb (0.5000, 0.5000, 0.5000)  12 Co 2.75
Co (0.0000, 0.0000, 0.5000)  2 F 1.95
Co (0.5000, 0.0000, 0.0000)  2 F 1.95
Co (0.0000, 0.5000, 0.0000)  2 F 1.95
F (0.0000, 0.0000, 0.0000)  6 Co 1.95

Properties
* formation energy without anion corrections: 1.94 eV/f.u.
* volume: 59.0 Å³/f.u.
* E above lowest polymorph: 0.000 eV/atom
* space group: Pm-3m
* crystal system: cubic

***

First-principles (PBEsol) data for an optimized crystal structure of KBa2La, as listed in Alexandria.

abc: 4.0018 4.0018 13.7459
angles: 90.00 90.00 110.04
Closest atoms and distances in Å follow each position.
Sites, in units of the cell vectors:
La (0.5000, 0.5000, 0.0000)  4 Ba 3.86, 4 La 4.00
Ba (0.0000, 0.0000, 0.7741)  2 La 3.86, 4 Ba 4.00
Ba (0.0000, 0.0000, 0.2259)  2 La 3.86, 4 Ba 4.00
K (0.5000, 0.5000, 0.5000)  4 K 4.00, 4 Ba 4.41

Properties
* ΔH_f (0 K): 180 meV per atom
* volume: 206.8 Å³/f.u.
* E above lowest polymorph: 0.000 eV/atom
* space group: Cmmm
* crystal system: orthorhombic

***

First-principles (PBEsol) data for an optimized crystal structure of TaMoS4, as listed in Alexandria.

abc: 3.2262 5.5969 6.2917
angles: 107.51 90.00 90.00
Closest atoms and distances in Å follow each position.
Sites, in units of the cell vectors:
S (0.0000, 0.4161, 0.2399)  1 Mo 2.41, 2 Ta 2.44
S (0.0000, 0.5921, 0.7597)  1 Mo 2.41, 2 Ta 2.43
S (0.5000, 0.0817, 0.7555)  2 Mo 2.41, 1 Ta 2.44
S (0.5000, 0.9090, 0.2443)  2 Mo 2.41, 1 Ta 2.45
Ta (0.5000, 0.3359, 0.5005)  6 S 2.43-2.45
Mo (0.0000, 0.8318, 0.5000)  6 S 2.41

Properties
* formation energy without anion corrections: -6.17 eV/f.u.
* volume: 108.3 Å³/f.u.
* space group: Pm
* crystal system: monoclinic

***

First-principles (PBEsol) data for an optimized crystal structure of Sr3PtW, as listed in Alexandria.

abc: 5.4804 5.4804 5.4804
angles: 90.00 90.00 90.00
Closest atoms and distances in Å follow each position.
Sites, in units of the cell vectors:
W (0.0000, 0.0000, 0.0000)  6 Sr 2.74
Sr (0.5000, 0.0000, 0.0000)  2 W 2.74
Sr (0.0000, 0.5000, 0.0000)  2 W 2.74
Sr (0.0000, 0.0000, 0.5000)  2 W 2.74
Pt (0.5000, 0.5000, 0.5000)  12 Sr 3.88

Properties
* ΔH_f (0 K): 1281 meV per atom
* volume: 164.6 Å³/f.u.
* space group: Pm-3m
* crystal system: cubic

***

First-principles (PBEsol) data for an optimized crystal structure of GaSiPd2Pb, as listed in Alexandria.

abc: 4.5870 4.5870 5.2627
angles: 90.00 90.00 90.00
Closest atoms and distances in Å follow each position.
Sites, in units of the cell vectors:
Pd (0.0000, 0.5000, 0.0000)  2 Ga 2.29
Pd (0.5000, 0.0000, 0.0000)  2 Ga 2.29
Ga (0.0000, 0.0000, 0.0000)  4 Pd 2.29
Pb (0.0000, 0.0000, 0.5000)  2 Ga 2.63
Si (0.5000, 0.5000, 0.5000)  4 Pb 3.24, 8 Pd 3.49

Properties
* formation energy without anion corrections: 2.94 eV/f.u.
* volume: 110.7 Å³/f.u.
* space group: P4/mmm
* crystal system: tetragonal

***

First-principles (PBEsol) data for an optimized crystal structure of YSc2Tl, as listed in Alexandria.

abc: 4.4394 4.4394 5.7715
angles: 112.62 112.62 90.00
Closest atoms and distances in Å follow each position.
Sites, in units of the cell vectors:
Sc (0.7500, 0.2500, 0.5000)  4 Y 3.14, 4 Tl 3.28, 4 Sc 3.28
Sc (0.0000, 0.0000, 0.0000)  4 Tl 3.14, 4 Sc 3.28, 4 Y 3.28
Tl (0.5000, 0.5000, 0.0000)  8 Sc 3.14-3.28, 4 Y 3.28
Y (0.2500, 0.7500, 0.5000)  8 Sc 3.14-3.28, 4 Tl 3.28

Properties
* ΔH_f (0 K): -207 meV per atom
* volume: 95.4 Å³/f.u.
* E above lowest polymorph: 0.033 eV/atom
* space group: I-4m2
* crystal system: tetragonal

***

Number 1: magnetic moment 0.0 Bohr magnetons per cell. Number 2: magnetic moment 0.0 Bohr magnetons per cell. Number 3: magnetic moment 1.1 Bohr magnetons per cell. Number 4: magnetic moment 2.2 Bohr magnetons per cell. Number 5: magnetic moment 0.0 Bohr magnetons per cell. Number 6: magnetic moment 1.9 Bohr magnetons per cell. Number 7: magnetic moment 0.0 Bohr magnetons per cell. Number 8: magnetic moment 0.0 Bohr magnetons per cell. Number 9: magnetic moment 0.0 Bohr magnetons per cell. Number 10: magnetic moment 0.0 Bohr magnetons per cell. Number 11: magnetic moment 0.0 Bohr magnetons per cell.